! TiBeTc2, relaxed, DFT GGA-PBE; values from VASP
! Crystal system: tetragonal
! Formation energy from the elements: 361.3 meV/atom
&SYSTEM
  ibrav = 0, nat = 8, ntyp = 3
/
ATOMIC_SPECIES
Tc 98.00 Tc.upf
Ti 47.87 Ti.upf
Be 9.01 Be.upf
CELL_PARAMETERS angstrom
3.738 0.000 0.000
0.000 3.738 0.000
1.869 1.869 8.623
ATOMIC_POSITIONS angstrom
Tc 4.672 4.495 6.467
Ti 3.738 1.869 4.312
Be 1.869 1.869 0.000
Be 1.869 3.738 4.312
Tc 2.627 0.934 2.156
Ti 0.000 0.000 0.000
Tc 1.111 2.803 2.156
Tc 2.803 2.980 6.467

! PrHo4Er5, relaxed, DFT GGA-PBE; values from VASP
! Crystal system: triclinic
! Formation energy from the elements: 63.4 meV/atom
! Energy above the most stable polymorph in this dataset: 0 meV per atom
&SYSTEM
  ibrav = 0, nat = 10, ntyp = 3
/
ATOMIC_SPECIES
Er 167.26 Er.upf
Ho 164.93 Ho.upf
Pr 140.91 Pr.upf
CELL_PARAMETERS angstrom
0.817 -0.494 -3.407
-2.305 -5.877 2.334
-12.815 6.263 -1.171
ATOMIC_POSITIONS angstrom
Er -0.744 -3.185 -0.537
Ho -11.291 0.337 -2.076
Er -5.416 1.791 -1.031
Er -5.501 -1.415 -2.361
Er -8.887 -1.898 -1.213
Ho -4.322 -3.586 0.218
Ho -9.982 3.479 -2.462
Ho -3.012 -0.444 -0.168
Er -8.802 1.308 0.117
Pr 0.408 -0.247 -1.704

! KIn3I, relaxed, DFT GGA-PBE; values from VASP
! Crystal system: cubic
! Formation energy (no corrections): 0.1857 eV per atom
! Energy above the most stable polymorph in this dataset: 0 meV per atom
&SYSTEM
  ibrav = 0, nat = 5, ntyp = 3
/
ATOMIC_SPECIES
I 126.90 I.upf
In 114.82 In.upf
K 39.10 K.upf
CELL_PARAMETERS angstrom
6.356 0.000 0.000
0.000 6.356 0.000
0.000 0.000 6.356
ATOMIC_POSITIONS angstrom
I 0.000 0.000 0.000
In 3.178 0.000 0.000
K 3.178 3.178 3.178
In 0.000 0.000 3.178
In 0.000 3.178 0.000

Number 1: theoretical density 7.0 Mg/m³, volume 60 Å³/f.u.. Number 2: theoretical density 8.6 Mg/m³, volume 316 Å³/f.u.. Number 3: theoretical density 3.3 Mg/m³, volume 257 Å³/f.u..